Crystalline SrBe5 at its relaxed geometry, computed with PBE-GGA.

Geometry as CIF:
```
data_SrBe5
_chemical_formula_sum 'Sr1 Be5'
_symmetry_space_group_name_H-M 'P 4/m m m'
_symmetry_Int_Tables_number 123
_symmetry_space_group_name_Hall '-P 4 2'
_cell_length_a 2.805
_cell_length_b 2.805
_cell_length_c 9.356
_cell_angle_alpha 90.00
_cell_angle_beta 90.00
_cell_angle_gamma 90.00
loop_
_atom_site_label
_atom_site_type_symbol
_atom_site_fract_x
_atom_site_fract_y
_atom_site_fract_z
Sr1 Sr 0.000 0.000 0.000
Be1 Be 0.000 0.000 0.372
Be2 Be 0.500 0.500 0.255
Be3 Be 0.500 0.500 0.500
```

## Properties
ΔH_f (0 K) = 0.4741 eV per atom
DOS(E_F) = 1.45 states/eV/f.u.
V = 12.27 Å³/atom
Raw total energy = -17.5 eV for the cell shown